Entry 1:
PmDyPdAu after structural relaxation, computed with PBE.

Geometry as POSCAR:
```
PmDyPdAu
1.0
-1.1125 -4.2282 -2.6179
3.5689 -3.5663 -0.7167
-0.3478 -4.4742 2.4144
Pm Pd Dy Au
1 1 1 1
Direct
0.2500 0.2500 0.2500
0.0000 0.0000 0.0000
0.7500 0.7500 0.7500
0.5000 0.5000 0.5000
```

Energy of formation from the pure elements = -812 meV/atom
Space-group type = F-43m, No. 216
E above lowest polymorph = 50 meV/atom

Entry 2:
MgInHg2 after structural relaxation, computed with PBE.

Geometry as POSCAR:
```
MgInHg2
1.0
5.6796 -0.0804 -0.1372
4.5659 3.3790 -0.1372
0.6806 0.2191 4.9193
In Mg Hg
1 1 2
Direct
0.5016 0.5016 0.5251
0.2510 0.2510 0.2176
0.7539 0.7539 0.7231
0.9934 0.9934 0.0342
```

Energy of formation from the pure elements = -81 meV/atom
Space-group type = Cm, No. 8

Entry 3:
B3Pb10Br3O13 after structural relaxation, computed with PBE.

Geometry as POSCAR:
```
B3Pb10Br3O13
1.0
-4.9456 -5.4134 5.3613
4.3194 -3.9320 7.7090
-5.5236 9.4139 12.1046
O Pb B Br
26 20 6 6
Direct
0.3565 0.8099 0.7157
0.7260 0.7493 0.6578
0.1579 0.3676 0.0087
0.0294 0.6575 0.6297
0.2712 0.2614 0.3275
0.3901 0.0893 0.0776
0.8895 0.9746 0.9694
0.9100 0.5846 0.0755
0.1387 0.0190 0.0280
0.8672 0.7042 0.7736
0.4299 0.0846 0.5755
0.8143 0.5190 0.5280
0.1400 0.7614 0.8275
0.1665 0.4746 0.4694
0.9509 0.5510 0.9281
0.8670 0.2493 0.1578
0.1179 0.3099 0.2157
0.6402 0.8961 0.9322
0.5699 0.0510 0.4281
0.6550 0.2042 0.2736
0.6834 0.1575 0.1297
0.4430 0.5893 0.5776
0.5315 0.3961 0.4322
0.3347 0.8318 0.8628
0.9707 0.3318 0.3628
0.4659 0.8676 0.5087
0.8649 0.2086 0.0024
0.3550 0.3895 0.5678
0.6732 0.6650 0.9020
0.1739 0.0212 0.1613
0.3384 0.1136 0.9402
0.5326 0.0309 0.2990
0.6436 0.5212 0.6613
0.7598 0.1650 0.4020
0.1375 0.5309 0.7990
0.6078 0.6136 0.4402
0.3326 0.3368 0.0974
0.3386 0.4847 0.3387
0.8381 0.9847 0.8387
0.6878 0.8895 0.0678
0.8322 0.4787 0.2082
0.9241 0.7086 0.5024
0.4809 0.9787 0.7082
0.1615 0.7901 0.9905
0.2332 0.8368 0.5974
0.0579 0.2901 0.4905
0.1208 0.3004 0.3023
0.7347 0.2040 0.1869
0.0063 0.4996 0.0053
0.8744 0.7040 0.6869
0.4887 0.9996 0.5053
0.2765 0.8004 0.8023
0.5494 0.3318 0.8887
0.7491 0.1690 0.6131
0.0603 0.2426 0.7721
0.4688 0.6690 0.1131
0.9250 0.7426 0.2721
0.2301 0.8318 0.3887
```

Space-group type = Cc, No. 9
E_form (uncorrected) = -1.495 eV/atom

Entry 4:
GdHfRh2 after structural relaxation, computed with PBE.

Geometry as POSCAR:
```
GdHfRh2
1.0
-0.5876 1.9983 2.5872
-1.3098 -2.5524 1.6739
6.2440 -1.5095 2.5840
Hf Rh Gd
1 2 1
Direct
0.5000 0.5000 0.0000
0.0000 0.0000 0.2193
0.0000 0.0000 0.7807
0.5000 0.5000 0.5000
```

Energy of formation from the pure elements = -856 meV/atom
Space-group type = P4/mmm, No. 123
E above lowest polymorph = 0 meV/atom

Entry 5:
Sc2Pd3 after structural relaxation, computed with PBE.

Geometry as POSCAR:
```
Sc2Pd3
1.0
5.3557 0.0000 0.0000
0.0000 6.0715 0.0000
-2.6778 -3.0358 5.7732
Pd Sc
6 4
Direct
0.6050 0.4566 0.2099
0.1050 0.7533 0.2099
0.2500 0.0000 0.0000
0.8950 0.2467 0.7901
0.7500 0.0000 0.0000
0.3950 0.5434 0.7901
0.6657 0.9452 0.3315
0.8343 0.6137 0.6685
0.3343 0.0548 0.6685
0.1657 0.3863 0.3315
```

Energy of formation from the pure elements = -702 meV/atom
Space-group type = Ibam, No. 72

Entry 6:
AcNdY2 after structural relaxation, computed with PBE.

Geometry as POSCAR:
```
AcNdY2
1.0
3.7317 0.0000 0.0000
1.8659 3.2318 0.0000
1.8659 1.0773 11.8333
Nd Y Ac
1 2 1
Direct
0.0000 0.0000 0.0000
0.7480 0.7480 0.7559
0.2520 0.2520 0.2441
0.5000 0.5000 0.5000
```

Energy of formation from the pure elements = 33 meV/atom
Space-group type = R-3m, No. 166
E above lowest polymorph = 6 meV/atom